Below is crystalline TbNpS4 at its relaxed geometry, with properties calculated at the PBE level.

As for the total magnetization: 2.00 μB/f.u. Its density of states at the Fermi level is 0.88 states/eV per atom. As for the formation energy (no corrections): -1381 meV/atom.

a = 8.7686 Å, b = 8.9100 Å, c = 4.0975 Å
α = 90.00°, β = 90.00°, γ = 90.00°
Space group Cmmm (No. 65)
Unique sites:
Tb 0.0000 0.0000 0.0000 [2 per cell]
Np 0.0000 0.5000 0.5000 [2 per cell]
S 0.0000 0.3132 0.0000 [4 per cell]
S 0.2053 0.0000 0.5000 [4 per cell]

=====

Below is crystalline In2CuSe at its relaxed geometry, with properties calculated at the PBE level.

As for the total magnetization: 0.00 μB/f.u. Its density of states at the Fermi level is 0.27 states/eV per atom. As for the formation energy (no corrections): 49 meV/atom.

a = 3.6586 Å, b = 3.6115 Å, c = 6.9663 Å
α = 90.00°, β = 103.95°, γ = 90.00°
Space group P2/m (No. 10)
Unique sites:
In 0.0235 0.0000 0.2612 [2 per cell]
Cu 0.5000 0.5000 0.5000 [1 per cell]
Se 0.5000 0.5000 0.0000 [1 per cell]

=====

Below is crystalline Na3TbDy2O6 at its relaxed geometry, with properties calculated at the PBE level.

As for the total magnetization: 0.00 μB/f.u. Its density of states at the Fermi level is 0.00 states/eV per atom. As for the formation energy (no corrections): -2793 meV/atom.

a = 5.9519 Å, b = 10.3086 Å, c = 5.9284 Å
α = 90.00°, β = 109.56°, γ = 90.00°
Space group C2/m (No. 12)
Unique sites:
Na 0.0000 0.0000 0.0000 [2 per cell]
Na 0.0000 0.3328 0.0000 [4 per cell]
Tb 0.0000 0.5000 0.5000 [2 per cell]
Dy 0.0000 0.1666 0.5000 [4 per cell]
O 0.2357 0.0000 0.7113 [4 per cell]
O 0.2378 0.3326 0.7111 [8 per cell]

=====

Below is crystalline NaReNiP2 at its relaxed geometry, with properties calculated at the PBE level.

As for the total magnetization: 0.00 μB/f.u. Its density of states at the Fermi level is 0.35 states/eV per atom. As for the formation energy from the elements: -0.422 eV per atom.

a = 3.8390 Å, b = 3.8390 Å, c = 12.0044 Å
α = 90.00°, β = 90.00°, γ = 90.00°
Space group I-4m2 (No. 119)
Unique sites:
Na 0.0000 0.0000 0.0000 [2 per cell]
Re 0.0000 0.5000 0.2500 [2 per cell]
Ni 0.0000 0.5000 0.7500 [2 per cell]
P 0.0000 0.0000 0.3581 [4 per cell]

=====

Below is crystalline Th2ZnGa at its relaxed geometry, with properties calculated at the PBE level.

As for the total magnetization: 0.00 μB/f.u. Its density of states at the Fermi level is 1.02 states/eV per atom. As for the formation energy from the elements: 0.193 eV per atom.

a = 3.3533 Å, b = 3.3533 Å, c = 34.0432 Å
α = 90.00°, β = 90.00°, γ = 120.00°
Space group R-3m (No. 166, hexagonal axes)
Unique sites:
Th 0.0000 0.0000 0.0927 [6 per cell]
Zn 0.0000 0.0000 0.0000 [3 per cell]
Ga 0.0000 0.0000 0.5000 [3 per cell]

=====

Below is crystalline Nd2MnGePd6 at its relaxed geometry, with properties calculated at the PBE level.

As for the total magnetization: 3.97 μB/f.u. Its density of states at the Fermi level is 0.40 states/eV per atom. As for the formation energy from the elements: -0.467 eV per atom.

a = 5.7008 Å, b = 5.7008 Å, c = 22.7661 Å
α = 90.00°, β = 90.00°, γ = 120.00°
Space group R-3m (No. 166, hexagonal axes)
Unique sites:
Nd 0.0000 0.0000 0.2069 [6 per cell]
Mn 0.0000 0.0000 0.5000 [3 per cell]
Ge 0.0000 0.0000 0.0000 [3 per cell]
Pd 0.0046 0.5023 0.2537 [18 per cell]

=====

Below is crystalline PmHo2Rh2 at its relaxed geometry, with properties calculated at the PBE level.

As for the total magnetization: 0.00 μB/f.u. Its density of states at the Fermi level is 0.79 states/eV per atom. As for the formation energy from the elements: -0.604 eV per atom.

a = 3.8481 Å, b = 26.1882 Å, c = 4.6712 Å
α = 90.00°, β = 90.00°, γ = 90.00°
Space group Cmcm (No. 63)
Unique sites:
Pm 0.0000 0.1367 0.2500 [4 per cell]
Ho 0.0000 0.2364 0.7500 [4 per cell]
Ho 0.0000 0.4486 0.2500 [4 per cell]
Rh 0.0000 0.0319 0.2500 [4 per cell]
Rh 0.0000 0.3369 0.2500 [4 per cell]

=====

Below is crystalline PrMg5Ir2 at its relaxed geometry, with properties calculated at the PBE level.

As for the total magnetization: 0.00 μB/f.u. Its density of states at the Fermi level is 0.35 states/eV per atom. As for the formation energy from the elements: -0.365 eV per atom.

a = 4.2214 Å, b = 8.2882 Å, c = 9.7995 Å
α = 90.00°, β = 90.00°, γ = 90.00°
Space group Immm (No. 71)
Unique sites:
Pr 0.0000 0.0000 0.0000 [2 per cell]
Mg 0.0000 0.1817 0.3304 [8 per cell]
Mg 0.0000 0.5000 0.0000 [2 per cell]
Ir 0.0000 0.5000 0.2684 [4 per cell]

=====

Below is crystalline Nd6CuIr2Br3 at its relaxed geometry, with properties calculated at the PBE level.

As for the total magnetization: 0.00 μB/f.u. Its density of states at the Fermi level is 0.64 states/eV per atom. As for the formation energy (no corrections): -962 meV/atom.

a = 7.2290 Å, b = 12.5177 Å, c = 8.1581 Å
α = 90.00°, β = 107.19°, γ = 90.00°
Space group C2/m (No. 12)
Unique sites:
Nd 0.2229 0.0000 0.1973 [4 per cell]
Nd 0.2373 0.3286 0.1974 [8 per cell]
Cu 0.0000 0.5000 0.0000 [2 per cell]
Ir 0.0000 0.1667 0.0000 [4 per cell]
Br 0.0000 0.0000 0.5000 [2 per cell]
Br 0.0000 0.3332 0.5000 [4 per cell]

=====

Below is crystalline Sr2Cd2Au3 at its relaxed geometry, with properties calculated at the PBE level.

As for the total magnetization: 0.00 μB/f.u. Its density of states at the Fermi level is 0.43 states/eV per atom. As for the formation energy from the elements: -0.604 eV per atom.

a = 4.3829 Å, b = 20.5396 Å, c = 8.2049 Å
α = 90.00°, β = 90.00°, γ = 90.00°
Space group Cmcm (No. 63)
Unique sites:
Sr 0.0000 0.0573 0.2500 [4 per cell]
Sr 0.0000 0.1510 0.7500 [4 per cell]
Cd 0.0000 0.3100 0.5536 [8 per cell]
Au 0.0000 0.2303 0.2500 [4 per cell]
Au 0.0000 0.4395 0.0718 [8 per cell]

=====

Below is crystalline Sr3HRh at its relaxed geometry, with properties calculated at the PBE level.

As for the total magnetization: 0.00 μB/f.u. Its density of states at the Fermi level is 0.66 states/eV per atom.

a = 4.0679 Å, b = 7.8057 Å, c = 9.4568 Å
α = 105.88°, β = 90.20°, γ = 90.00°
Space group P1 (No. 1)
Unique sites:
Sr 0.0000 0.0000 0.0000 [1 per cell]
Sr 0.9995 0.2350 0.6482 [1 per cell]
Sr 0.4875 0.7244 0.6558 [1 per cell]
Sr 0.4989 0.5099 0.9928 [1 per cell]
Sr 0.5051 0.3461 0.3144 [1 per cell]
Sr 0.5056 0.8881 0.3344 [1 per cell]
H 0.0035 0.1176 0.3259 [1 per cell]
H 0.9981 0.6169 0.8235 [1 per cell]
Rh 0.0053 0.6166 0.3229 [1 per cell]
Rh 0.4995 0.1169 0.8238 [1 per cell]

=====

Below is crystalline Sm12Dy5Er2 at its relaxed geometry, with properties calculated at the PBE level.

As for the total magnetization: 0.00 μB/f.u. Its density of states at the Fermi level is 1.46 states/eV per atom. As for the formation energy from the elements: 0.103 eV per atom.

a = 17.8118 Å, b = 11.6635 Å, c = 6.1943 Å
α = 90.00°, β = 102.74°, γ = 90.00°
Space group C2/m (No. 12)
Unique sites:
Sm 0.0556 0.0000 0.2742 [4 per cell]
Sm 0.1033 0.2503 0.6176 [8 per cell]
Sm 0.1195 0.5000 0.0005 [4 per cell]
Sm 0.1970 0.2438 0.1991 [8 per cell]
Dy 0.0000 0.5000 0.5000 [2 per cell]
Dy 0.1774 0.0000 0.8608 [4 per cell]
Dy 0.2156 0.5000 0.5539 [4 per cell]
Er 0.0000 0.2695 0.0000 [4 per cell]

=====

Below is crystalline Ce5GeAs4 at its relaxed geometry, with properties calculated at the PBE level.

As for the total magnetization: 3.05 μB/f.u. Its density of states at the Fermi level is 2.23 states/eV per atom. As for the formation energy from the elements: -1.274 eV per atom.

a = 9.4372 Å, b = 9.4372 Å, c = 5.9675 Å
α = 90.00°, β = 90.00°, γ = 90.00°
Space group I4/m (No. 87)
Unique sites:
Ce 0.0000 0.0000 0.0000 [2 per cell]
Ce 0.1007 0.3009 0.5000 [8 per cell]
Ge 0.0000 0.0000 0.5000 [2 per cell]
As 0.0999 0.3003 0.0000 [8 per cell]

=====

Below is crystalline Cs4PuCd3Br12 at its relaxed geometry, with properties calculated at the PBE level.

As for the total magnetization: 5.52 μB/f.u. Its density of states at the Fermi level is 0.85 states/eV per atom. As for the formation energy (no corrections): -1344 meV/atom.

a = 11.4328 Å, b = 11.4328 Å, c = 11.4328 Å
α = 90.00°, β = 90.00°, γ = 90.00°
Space group Im-3m (No. 229)
Unique sites:
Cs 0.2500 0.2500 0.2500 [8 per cell]
Pu 0.0000 0.0000 0.0000 [2 per cell]
Cd 0.0000 0.0000 0.5000 [6 per cell]
Br 0.0000 0.0000 0.2512 [12 per cell]
Br 0.0000 0.2500 0.5000 [12 per cell]

=====

Below is crystalline Er8ScIn2 at its relaxed geometry, with properties calculated at the PBE level.

As for the total magnetization: 0.00 μB/f.u. Its density of states at the Fermi level is 1.31 states/eV per atom. As for the formation energy from the elements: -0.034 eV per atom.

a = 8.7398 Å, b = 14.9889 Å, c = 5.4966 Å
α = 90.00°, β = 115.14°, γ = 90.00°
Space group C2/m (No. 12)
Unique sites:
Er 0.0000 0.2108 0.0000 [4 per cell]
Er 0.1066 0.5000 0.7990 [4 per cell]
Er 0.2092 0.1137 0.6220 [8 per cell]
Sc 0.0000 0.0000 0.0000 [2 per cell]
In 0.0000 0.3060 0.5000 [4 per cell]

=====

Below is crystalline AlIn2Te at its relaxed geometry, with properties calculated at the PBE level.

As for the total magnetization: 0.00 μB/f.u. Its density of states at the Fermi level is 0.43 states/eV per atom. As for the formation energy (no corrections): 45 meV/atom.

a = 13.4766 Å, b = 3.8202 Å, c = 4.4991 Å
α = 90.00°, β = 109.41°, γ = 90.00°
Space group C2/m (No. 12)
Unique sites:
Al 0.0000 0.0000 0.0000 [2 per cell]
In 0.1958 0.5000 0.1974 [4 per cell]
Te 0.0000 0.5000 0.5000 [2 per cell]

=====

Below is crystalline LaCo2Os at its relaxed geometry, with properties calculated at the PBE level.

As for the total magnetization: 2.21 μB/f.u. Its density of states at the Fermi level is 1.48 states/eV per atom. As for the formation energy from the elements: 0.466 eV per atom.

a = 2.8428 Å, b = 4.5984 Å, c = 9.8014 Å
α = 90.00°, β = 90.00°, γ = 90.00°
Space group Imm2 (No. 44)
Unique sites:
La 0.0000 0.0000 0.0000 [2 per cell]
Co 0.0000 0.0000 0.5080 [2 per cell]
Co 0.0000 0.5000 0.2223 [2 per cell]
Os 0.0000 0.5000 0.7856 [2 per cell]

=====

Below is crystalline Mg4TlAu5 at its relaxed geometry, with properties calculated at the PBE level.

As for the total magnetization: 0.00 μB/f.u. Its density of states at the Fermi level is 0.32 states/eV per atom. As for the formation energy from the elements: -0.481 eV per atom.

a = 3.3979 Å, b = 3.3979 Å, c = 16.5265 Å
α = 90.00°, β = 90.00°, γ = 90.00°
Space group P4/mmm (No. 123)
Unique sites:
Mg 0.0000 0.0000 0.0953 [2 per cell]
Mg 0.0000 0.0000 0.2866 [2 per cell]
Tl 0.0000 0.0000 0.5000 [1 per cell]
Au 0.5000 0.5000 0.0000 [1 per cell]
Au 0.5000 0.5000 0.1897 [2 per cell]
Au 0.5000 0.5000 0.3742 [2 per cell]

=====

Below is crystalline DyHfInAu at its relaxed geometry, with properties calculated at the PBE level.

As for the total magnetization: 1.01 μB/f.u. Its density of states at the Fermi level is 0.57 states/eV per atom. As for the formation energy from the elements: -0.340 eV per atom.

a = 7.1487 Å, b = 7.1487 Å, c = 7.1487 Å
α = 90.00°, β = 90.00°, γ = 90.00°
Space group F-43m (No. 216)
Unique sites:
Dy 0.0000 0.0000 0.0000 [4 per cell]
Hf 0.0000 0.0000 0.5000 [4 per cell]
In 0.2500 0.2500 0.2500 [4 per cell]
Au 0.2500 0.2500 0.7500 [4 per cell]

=====

Below is crystalline BeZnTe2 at its relaxed geometry, with properties calculated at the PBE level.

As for the total magnetization: 0.00 μB/f.u. Its density of states at the Fermi level is 0.40 states/eV per atom. As for the formation energy (no corrections): 189 meV/atom.

a = 3.6665 Å, b = 7.5518 Å, c = 9.0473 Å
α = 90.00°, β = 90.00°, γ = 90.00°
Space group Immm (No. 71)
Unique sites:
Be 0.0000 0.0000 0.0000 [2 per cell]
Zn 0.0000 0.5000 0.0000 [2 per cell]
Te 0.0000 0.2761 0.5000 [4 per cell]

=====

Number 1: total energy -7.061 eV per atom. Number 2: total energy -3.215 eV per atom. Number 3: total energy -6.755 eV per atom. Number 4: total energy -6.496 eV per atom. Number 5: total energy -4.592 eV per atom. Number 6: total energy -5.915 eV per atom. Number 7: total energy -6.326 eV per atom. Number 8: total energy -4.174 eV per atom. Number 9: total energy -5.582 eV per atom. Number 10: total energy -2.750 eV per atom. Number 11: total energy -3.325 eV per atom. Number 12: total energy -4.569 eV per atom. Number 13: total energy -6.563 eV per atom. Number 14: total energy -3.372 eV per atom. Number 15: total energy -4.426 eV per atom. Number 16: total energy -3.045 eV per atom. Number 17: total energy -7.126 eV per atom. Number 18: total energy -2.994 eV per atom. Number 19: total energy -5.483 eV per atom. Number 20: total energy -2.631 eV per atom.